First-principles (GGA-PBE) data for crystalline Zr2Pb at its relaxed geometry, as listed in the Open Quantum Materials Database.

Cell lengths 5.3667, 9.8143, 5.4368 Å; angles 90.00, 90.00, 90.00 degrees
With the nearest neighbours (Å) after each atom.
Positions (direct):
Zr: 0.4934 0.5073 0.0000  4 Pb 3.06-3.32, 8 Zr 3.12-3.41
Zr: 0.4934 0.1594 0.0000  4 Pb 3.06-3.32, 8 Zr 3.12-3.41
Zr: 0.3710 0.3333 0.5000  4 Pb 3.05-3.25, 8 Zr 3.20-3.34
Zr: 0.3399 0.0073 0.5000  4 Pb 3.06-3.32, 8 Zr 3.12-3.41
Zr: 0.0079 0.3333 0.0000  6 Zr 3.12-3.34, 6 Pb 3.26-3.29
Zr: 0.8254 0.8333 0.5000  6 Zr 3.12-3.34, 6 Pb 3.26-3.29
Zr: 0.3399 0.6594 0.5000  4 Pb 3.06-3.32, 8 Zr 3.12-3.41
Zr: 0.4623 0.8333 0.0000  4 Pb 3.05-3.25, 8 Zr 3.20-3.34
Pb: 0.9849 0.0014 0.0000  9 Zr 3.05-3.32, 3 Pb 3.24-3.30
Pb: 0.8484 0.5014 0.5000  9 Zr 3.05-3.32, 3 Pb 3.24-3.30
Pb: 0.8484 0.1652 0.5000  9 Zr 3.05-3.32, 3 Pb 3.24-3.30
Pb: 0.9849 0.6652 0.0000  9 Zr 3.05-3.32, 3 Pb 3.24-3.30

Properties
The value obtained for the total energy is -6.96 eV/atom. The size of the total moment is 0.03 μB per cell.